A relaxed structure of TcNi3Pd. Source: the Alexandria database, functional PBE-GGA.

Properties
Total energy: -63.14 eV/cell
E above lowest polymorph: 0.0 kJ/mol of atoms
Formation energy: 0.267 eV per atom

Lattice parameters (Å, degrees): 4.3955 6.8188 6.8188 42.33 86.73 86.73
Last column: nearest neighbours and their distance in Å.
Fractional positions:
Ni (0.1653, 0.8967, 0.4346)  6 Ni 2.46-2.54, 3 Tc 2.48-2.60, 1 Pd 2.50
Ni (0.3333, 0.3086, 0.3447)  3 Tc 2.44-2.49, 6 Ni 2.44-2.58, 2 Pd 2.61-2.71
Ni (0.8187, 0.0584, 0.5976)  6 Ni 2.44-2.58, 3 Tc 2.49-2.54, 1 Pd 2.50
Ni (0.6667, 0.6553, 0.6914)  3 Tc 2.44-2.49, 6 Ni 2.44-2.58, 2 Pd 2.61-2.71
Ni (0.1814, 0.4024, 0.9416)  6 Ni 2.44-2.58, 3 Tc 2.49-2.54, 1 Pd 2.50
Ni (0.8347, 0.5654, 0.1033)  6 Ni 2.46-2.54, 3 Tc 2.48-2.60, 1 Pd 2.50
Tc (0.6800, 0.1513, 0.1774)  9 Ni 2.44-2.60, 1 Pd 2.56
Tc (0.3200, 0.8226, 0.8486)  9 Ni 2.44-2.60, 1 Pd 2.56
Pd (0.0000, 0.3881, 0.6118)  4 Ni 2.50-2.61
Pd (0.5000, 0.7512, 0.2488)  4 Ni 2.50-2.71, 2 Tc 2.56